Pm2Ga3Ge after structural relaxation. Source: the Open Quantum Materials Database, functional GGA-PBE.

Computed properties:
uncorrected energy	-219.8	eV for the cell shown
crystal system	orthorhombic
spin magnetization	0.04	Bohr magnetons per cell

a b c (Å): 8.454 8.494 14.688
angles (deg): 90.00 90.00 90.00
Space group Fmmm (No. 69)
Inequivalent atoms, fractional coordinates:
Pm 0.246 0.000 0.000 [8 per cell]
Pm 0.250 0.250 0.250 [8 per cell]
Ga 0.000 0.000 0.335 [8 per cell]
Ga 0.000 0.248 0.417 [16 per cell]
Ge 0.000 0.000 0.167 [8 per cell]